! TaSiAg2 (PBE-GGA, optimized geometry); values from VASP
&SYSTEM
  ibrav = 0, nat = 4, ntyp = 3
/
ATOMIC_SPECIES
Ta 180.95 Ta.upf
Si 28.09 Si.upf
Ag 107.87 Ag.upf
CELL_PARAMETERS angstrom
2.910 0.000 0.000
0.000 4.638 0.000
0.000 0.000 5.045
ATOMIC_POSITIONS angstrom
Ta 0.000 0.000 0.000
Si 1.455 2.319 0.000
Ag 0.000 2.319 2.522
Ag 1.455 0.000 2.522
! Space group   Pmmm, No. 47
! D(E_F)   2.572 states/eV per cell
! Uncorrected energy   -5.564 eV per atom
! Crystal system   orthorhombic